w) NdTm3Tl2 | PBE | optimized geometry

Lattice parameters (Å, degrees): 5.094 6.804 9.956 90.00 90.00 90.00
Sites, in units of the cell vectors:
Tl 0.000 0.287 0.639
Tl 0.000 0.787 0.361
Tl 0.500 0.209 0.131
Tl 0.500 0.709 0.869
Tm 0.000 0.956 0.044
Tm 0.000 0.330 0.305
Tm 0.000 0.456 0.956
Tm 0.500 0.167 0.818
Tm 0.500 0.667 0.182
Tm 0.000 0.830 0.695
Nd 0.500 0.051 0.457
Nd 0.500 0.551 0.543

Its density of states at the Fermi level is 11.299 states/eV/cell. As for the space-group type: Pmc2_1.

x) NdTm3Tl2 | PBE | optimized geometry

Lattice parameters (Å, degrees): 5.371 9.240 9.243 124.56 90.00 106.90
Last column: magnetic moment on the atom in μB.
Sites, in units of the cell vectors:
Tl 0.482 0.964 0.137  0.00
Tl 0.518 0.036 0.863  0.00
Tl 0.221 0.443 0.847  0.00
Tl 0.779 0.557 0.153  0.00
Nd 0.868 0.736 0.907  0.01
Nd 0.132 0.264 0.093  0.01
Tm 0.060 0.121 0.406  0.13
Tm 0.693 0.386 0.399  0.03
Tm 0.614 0.229 0.689  0.12
Tm 0.940 0.879 0.594  0.13
Tm 0.386 0.771 0.311  0.12
Tm 0.307 0.614 0.601  0.03

Its density of states at the Fermi level is 12.195 states/eV/cell. As for the space-group type: C2/m.

Q: Which of them is the most stable? A: w).

w) Nd6Tm2Tl | PBE | optimized geometry

Lattice parameters (Å, degrees): 6.419 11.424 11.424 47.58 106.34 106.34
Sites, in units of the cell vectors:
Nd 0.944 0.152 0.008
Nd 0.920 0.919 0.420
Nd 0.783 0.347 0.492
Nd 0.556 0.992 0.848
Nd 0.717 0.508 0.653
Nd 0.056 0.848 0.992
Nd 0.283 0.492 0.347
Nd 0.580 0.580 0.081
Nd 0.420 0.420 0.919
Nd 0.217 0.653 0.508
Nd 0.444 0.008 0.152
Nd 0.080 0.081 0.580
Tm 0.583 0.827 0.673
Tm 0.083 0.673 0.827
Tm 0.417 0.173 0.327
Tm 0.917 0.327 0.173
Tl 0.750 0.750 0.250
Tl 0.250 0.250 0.750

Its density of states at the Fermi level is 20.677 states/eV/cell. As for the space-group type: Ibam.

x) Nd6Tm2Tl | PBE | optimized geometry

Lattice parameters (Å, degrees): 3.474 9.969 9.782 120.64 90.10 90.00
Sites, in units of the cell vectors:
Nd 0.503 0.677 0.674
Nd 0.497 0.003 0.326
Nd 0.497 0.323 0.326
Nd 0.500 0.332 0.000
Nd 0.500 0.668 0.000
Nd 0.503 0.997 0.674
Tm 0.000 0.667 0.333
Tm 0.000 0.333 0.667
Tl 0.000 0.000 0.000

Its density of states at the Fermi level is 17.791 states/eV/cell. As for the space-group type: C2/m.

Q: Which of them is the most stable? A: w).

w) NdTmTl2 | PBE | optimized geometry

Lattice parameters (Å, degrees): 3.774 3.774 9.993 79.11 79.11 60.00
Sites, in units of the cell vectors:
Tm 0.000 0.000 0.000
Tl 0.253 0.253 0.241
Tl 0.747 0.747 0.759
Nd 0.500 0.500 0.500

Its density of states at the Fermi level is 2.483 states/eV/cell. As for the space-group type: R-3m.

x) NdTmTl2 | PBE | optimized geometry

Lattice parameters (Å, degrees): 3.817 3.817 7.685 90.00 90.00 90.00
Sites, in units of the cell vectors:
Tl 0.000 0.000 0.765
Tl 0.000 0.000 0.235
Nd 0.500 0.500 0.500
Tm 0.500 0.500 0.000

Its density of states at the Fermi level is 2.912 states/eV/cell. As for the space-group type: P4/mmm.

Q: Which of them is the most stable? A: x).

w) NdTmTl2 | PBE | optimized geometry

Lattice parameters (Å, degrees): 4.332 5.099 5.099 90.00 90.00 90.00
Sites, in units of the cell vectors:
Tl 0.000 0.500 0.000
Tl 0.000 0.000 0.500
Tm 0.500 0.500 0.500
Nd 0.500 0.000 0.000

Its density of states at the Fermi level is 3.824 states/eV/cell. As for the space-group type: P4/mmm.

x) NdTmTl2 | PBE | optimized geometry

Lattice parameters (Å, degrees): 5.422 5.422 5.422 60.00 60.00 60.00
Sites, in units of the cell vectors:
Tl 0.750 0.750 0.750
Tl 0.250 0.250 0.250
Nd 0.500 0.500 0.500
Tm 0.000 0.000 0.000

Its density of states at the Fermi level is 2.877 states/eV/cell. As for the space-group type: Fm-3m.

Q: Which of them is the most stable? A: x).

w) NdYTmTl | PBE | optimized geometry

Lattice parameters (Å, degrees): 4.899 4.840 4.937 90.00 90.00 90.00
Last column: magnetic moment on the atom in μB.
Sites, in units of the cell vectors:
Tm 0.500 0.000 0.500  0.18
Nd 0.000 0.500 0.500  0.13
Tl 0.500 0.500 0.000  -0.01
Y 0.000 0.000 0.000  0.13

Its density of states at the Fermi level is 5.244 states/eV/cell. As for the space-group type: Pmmm.

x) NdYTmTl | PBE | optimized geometry

Lattice parameters (Å, degrees): 5.515 5.515 5.515 60.00 60.00 60.00
Last column: magnetic moment on the atom in μB.
Sites, in units of the cell vectors:
Tl 0.000 0.000 0.000  0.00
Tm 0.500 0.500 0.500  0.34
Nd 0.750 0.750 0.750  0.18
Y 0.250 0.250 0.250  0.21

Its density of states at the Fermi level is 5.373 states/eV/cell. As for the space-group type: F-43m.

Q: Which of them is the most stable? A: w).

w) Nd2YTl | PBE | optimized geometry

Lattice parameters (Å, degrees): 3.500 6.004 14.303 63.84 90.00 90.00
Sites, in units of the cell vectors:
Nd 0.250 0.443 0.813
Nd 0.750 0.557 0.187
Nd 0.750 0.185 0.066
Nd 0.250 0.815 0.934
Tl 0.250 0.711 0.559
Tl 0.750 0.289 0.441
Y 0.750 0.882 0.346
Y 0.250 0.118 0.654

Its density of states at the Fermi level is 10.893 states/eV/cell. As for the space-group type: P2_1/m.

x) Nd2YTl | PBE | optimized geometry

Lattice parameters (Å, degrees): 3.720 3.720 11.266 80.50 80.50 60.00
Last column: magnetic moment on the atom in μB.
Sites, in units of the cell vectors:
Nd 0.079 0.079 0.763  0.07
Nd 0.254 0.254 0.237  0.02
Tl 0.667 0.667 0.000  0.00
Y 0.500 0.500 0.500  0.13

Its density of states at the Fermi level is 5.517 states/eV/cell. As for the space-group type: R3m.

Q: Which of them is the most stable? A: x).

w) Nd2YTl | PBE | optimized geometry

Lattice parameters (Å, degrees): 3.653 3.653 11.535 80.89 80.89 60.00
Sites, in units of the cell vectors:
Nd 0.747 0.747 0.759
Nd 0.253 0.253 0.241
Tl 0.000 0.000 0.000
Y 0.500 0.500 0.500

Its density of states at the Fermi level is 5.478 states/eV/cell. As for the space-group type: R-3m.

x) Nd2YTl | PBE | optimized geometry

Lattice parameters (Å, degrees): 5.405 6.896 6.996 76.71 90.00 90.00
Sites, in units of the cell vectors:
Nd 0.750 0.868 0.243
Nd 0.750 0.408 0.893
Nd 0.250 0.132 0.757
Nd 0.250 0.592 0.107
Tl 0.750 0.885 0.750
Tl 0.250 0.115 0.250
Y 0.750 0.329 0.418
Y 0.250 0.671 0.582

Its density of states at the Fermi level is 7.348 states/eV/cell. As for the space-group type: P2_1/m.

y) Nd2YTl | PBE | optimized geometry

Lattice parameters (Å, degrees): 5.604 5.604 5.604 60.00 60.00 60.00
Last column: magnetic moment on the atom in μB.
Sites, in units of the cell vectors:
Tl 0.000 0.000 0.000  0.00
Nd 0.250 0.250 0.250  0.19
Nd 0.750 0.750 0.750  0.19
Y 0.500 0.500 0.500  0.30

Its density of states at the Fermi level is 5.698 states/eV/cell. As for the space-group type: Fm-3m.

Q: Which of them is the most stable? A: x).

w) Nd2YTl | PBE | optimized geometry

Lattice parameters (Å, degrees): 5.073 4.898 4.898 90.00 90.00 90.00
Sites, in units of the cell vectors:
Y 0.500 0.000 0.000
Nd 0.000 0.000 0.500
Nd 0.000 0.500 0.000
Tl 0.500 0.500 0.500

Its density of states at the Fermi level is 5.813 states/eV/cell. As for the space-group type: P4/mmm.

x) Nd2YTl | PBE | optimized geometry

Lattice parameters (Å, degrees): 3.687 3.687 9.500 90.00 90.00 90.00
Sites, in units of the cell vectors:
Tl 0.500 0.500 0.000
Y 0.500 0.500 0.500
Nd 0.000 0.000 0.771
Nd 0.000 0.000 0.229

Its density of states at the Fermi level is 5.823 states/eV/cell. As for the space-group type: P4/mmm.

Q: Which of them is the most stable? A: w).

w) NdY2Tl | PBE | optimized geometry

Lattice parameters (Å, degrees): 3.496 6.823 13.150 57.40 90.00 90.00
Sites, in units of the cell vectors:
Nd 0.750 0.934 0.402
Nd 0.250 0.066 0.598
Tl 0.250 0.509 0.633
Tl 0.750 0.491 0.367
Y 0.250 0.994 0.885
Y 0.750 0.503 0.118
Y 0.750 0.006 0.115
Y 0.250 0.497 0.882

Its density of states at the Fermi level is 11.581 states/eV/cell. As for the space-group type: P2_1/m.

x) NdY2Tl | PBE | optimized geometry

Lattice parameters (Å, degrees): 3.621 3.621 11.234 80.73 80.73 60.00
Sites, in units of the cell vectors:
Tl 0.000 0.000 0.000
Y 0.745 0.745 0.766
Y 0.255 0.255 0.234
Nd 0.500 0.500 0.500

Its density of states at the Fermi level is 4.471 states/eV/cell. As for the space-group type: R-3m.

y) NdY2Tl | PBE | optimized geometry

Lattice parameters (Å, degrees): 4.861 4.946 4.946 90.00 90.00 90.00
Last column: magnetic moment on the atom in μB.
Sites, in units of the cell vectors:
Nd 0.500 0.500 0.500  0.15
Tl 0.500 0.000 0.000  -0.01
Y 0.000 0.500 0.000  0.17
Y 0.000 0.000 0.500  0.17

Its density of states at the Fermi level is 5.088 states/eV/cell. As for the space-group type: P4/mmm.

z) NdY2Tl | PBE | optimized geometry

Lattice parameters (Å, degrees): 4.868 4.740 11.314 102.20 90.00 90.00
Sites, in units of the cell vectors:
Tl 0.750 0.836 0.675
Tl 0.250 0.164 0.325
Y 0.250 0.558 0.116
Y 0.750 0.066 0.131
Y 0.750 0.442 0.884
Y 0.250 0.934 0.869
Nd 0.750 0.695 0.387
Nd 0.250 0.305 0.613

Its density of states at the Fermi level is 9.116 states/eV/cell. As for the space-group type: P2_1/m.

Q: Which of them is the most stable? A: y).

w) NdY2Tl | PBE | optimized geometry

Lattice parameters (Å, degrees): 3.669 3.669 9.160 90.00 90.00 90.00
Sites, in units of the cell vectors:
Y 0.000 0.000 0.778
Y 0.000 0.000 0.222
Tl 0.500 0.500 0.000
Nd 0.500 0.500 0.500

Its density of states at the Fermi level is 4.229 states/eV/cell. As for the space-group type: P4/mmm.

x) NdY2Tl | PBE | optimized geometry

Lattice parameters (Å, degrees): 3.687 3.687 11.011 80.38 80.38 60.01
Sites, in units of the cell vectors:
Tl 0.667 0.667 0.000
Nd 0.500 0.500 0.500
Y 0.076 0.076 0.772
Y 0.257 0.257 0.228

Its density of states at the Fermi level is 5.531 states/eV/cell. As for the space-group type: R3m.

Q: Which of them is the most stable? A: w).

w) Nd3Y2Tl2 | PBE | optimized geometry

Lattice parameters (Å, degrees): 5.014 3.568 12.387 90.00 78.32 90.00
Sites, in units of the cell vectors:
Nd 0.857 0.000 0.286
Nd 0.143 0.000 0.714
Nd 0.000 0.000 0.000
Tl 0.427 0.500 0.146
Tl 0.573 0.500 0.854
Y 0.287 0.500 0.425
Y 0.713 0.500 0.575

Its density of states at the Fermi level is 8.333 states/eV/cell. As for the space-group type: Cmmm.

x) Nd3Y2Tl2 | PBE | optimized geometry

Lattice parameters (Å, degrees): 5.538 5.531 8.784 108.43 90.00 120.04
Sites, in units of the cell vectors:
Tl 0.786 0.572 0.857
Tl 0.214 0.428 0.143
Nd 0.500 0.000 0.000
Nd 0.657 0.313 0.470
Nd 0.343 0.687 0.530
Y 0.075 0.150 0.724
Y 0.925 0.850 0.276

Its density of states at the Fermi level is 6.857 states/eV/cell. As for the space-group type: C2/m.

Q: Which of them is the most stable? A: x).